Entry 1:
This record from Alexandria via LeMat-Bulk describes a relaxed KTlGa2Ir crystal. The functional is PBE-GGA.

abc: 4.902 4.902 5.412
angles: 90.00 90.00 90.00
Fractional coordinates of all 5 atoms:
Ga 0.000 0.500 0.000
Tl 0.000 0.000 0.500
K 0.500 0.500 0.500
Ga 0.500 0.000 0.000
Ir 0.000 0.000 0.000

E_tot (eV/atom): -3.82
ΔH_f (0 K) (meV per atom): -144

=====

Entry 2:
This record from Alexandria via LeMat-Bulk describes a relaxed Te2Au crystal. The functional is PBE-GGA.

abc: 5.177 4.230 4.230
angles: 60.12 90.09 90.09
Fractional coordinates of all 3 atoms:
Au 0.000 0.000 0.000
Te 0.290 0.322 0.322
Te 0.710 0.678 0.678

Formation energy (no corrections) (eV per atom): -0.068
E_tot (eV/atom): -3.26

=====

Entry 3:
This record from Alexandria via LeMat-Bulk describes a relaxed CdRuAu2 crystal. The functional is PBE-GGA.

abc: 2.916 2.916 8.302
angles: 90.00 90.00 90.00
Fractional coordinates of all 4 atoms:
Au 0.500 0.500 0.246
Ru 0.500 0.500 0.755
Cd 0.000 0.000 0.512
Au 0.000 0.000 0.987

E_tot (eV/atom): -3.98
ΔH_f (0 K) (meV per atom): 208

=====

Entry 4:
This record from Alexandria via LeMat-Bulk describes a relaxed Ti5Sn2P2 crystal. The functional is PBE-GGA.

abc: 6.826 6.696 7.589
angles: 90.00 63.28 90.00
Fractional coordinates of all 18 atoms:
Ti 0.049 0.665 0.223
P 0.134 0.367 0.000
Sn 0.716 0.500 0.567
Sn 0.784 0.000 0.433
Sn 0.216 0.000 0.567
Ti 0.272 0.665 0.777
P 0.866 0.633 0.000
Ti 0.500 0.500 0.000
Ti 0.000 0.000 0.000
P 0.634 0.133 0.000
Ti 0.728 0.335 0.223
Ti 0.951 0.335 0.777
Ti 0.451 0.165 0.777
Sn 0.284 0.500 0.433
Ti 0.549 0.835 0.223
P 0.366 0.867 0.000
Ti 0.228 0.165 0.223
Ti 0.772 0.835 0.777

E_tot (eV/atom): -7.25
ΔH_f (0 K) (meV per atom): -776

=====

Entry 5:
This record from Alexandria via LeMat-Bulk describes a relaxed Rb2ZnTeSe crystal. The functional is PBE-GGA.

abc: 4.495 8.432 11.218
angles: 109.09 90.00 90.00
Fractional coordinates of all 10 atoms:
Se 0.750 0.210 0.183
Rb 0.750 0.815 0.602
Te 0.750 0.311 0.700
Rb 0.250 0.212 0.958
Rb 0.250 0.185 0.398
Zn 0.250 0.497 0.743
Te 0.250 0.689 0.300
Rb 0.750 0.788 0.042
Zn 0.750 0.503 0.257
Se 0.250 0.790 0.817

Formation energy (no corrections) (eV per atom): -0.901
E_tot (eV/atom): -2.87

=====

Entry 6:
This record from Alexandria via LeMat-Bulk describes a relaxed Sr2Sn2Hg4Pb crystal. The functional is PBE-GGA.

abc: 7.315 7.315 7.315
angles: 91.01 119.42 119.42
Fractional coordinates of all 9 atoms:
Hg 0.000 0.285 0.715
Sr 0.500 0.750 0.250
Sn 0.000 0.699 0.699
Hg 0.430 0.715 0.715
Pb 0.000 0.000 0.000
Sn 0.000 0.301 0.301
Hg 0.570 0.285 0.285
Sr 0.500 0.250 0.750
Hg 0.000 0.715 0.285

E_tot (eV/atom): -2.09
ΔH_f (0 K) (meV per atom): -279

=====

Entry 7:
This record from Alexandria via LeMat-Bulk describes a relaxed ZrZn3Pt crystal. The functional is PBE-GGA.

abc: 3.662 8.481 11.104
angles: 90.00 90.00 90.00
Fractional coordinates of all 20 atoms:
Pt 0.250 0.136 0.629
Zn 0.750 0.084 0.207
Pt 0.750 0.364 0.129
Zn 0.750 0.920 0.598
Zn 0.250 0.580 0.098
Zn 0.750 0.420 0.902
Zn 0.750 0.644 0.700
Zn 0.250 0.416 0.707
Zr 0.250 0.669 0.498
Zn 0.250 0.916 0.793
Zr 0.750 0.331 0.502
Zn 0.250 0.856 0.200
Zr 0.750 0.831 0.998
Pt 0.750 0.864 0.371
Zn 0.250 0.080 0.402
Zr 0.250 0.169 0.002
Zn 0.250 0.356 0.300
Zn 0.750 0.144 0.800
Pt 0.250 0.636 0.871
Zn 0.750 0.584 0.293

E_tot (eV/atom): -4.06
ΔH_f (0 K) (meV per atom): -378
ΔE to the lowest computed polymorph (meV/atom): 63

=====

Entry 8:
This record from Alexandria via LeMat-Bulk describes a relaxed Sr3TiTl crystal. The functional is PBE-GGA.

abc: 6.281 6.281 6.281
angles: 90.00 90.00 90.00
Fractional coordinates of all 5 atoms:
Sr 0.000 0.500 0.000
Sr 0.500 0.000 0.000
Sr 0.000 0.000 0.500
Ti 0.500 0.500 0.500
Tl 0.000 0.000 0.000

E_tot (eV/atom): -2.45
ΔH_f (0 K) (meV per atom): 607
ΔE to the lowest computed polymorph (meV/atom): 0

=====

Going through the records in order, we get magnetization values of 0.000, 0.000, 0.374, 0.000, 0.000, 0.000, 0.000, 0.611 μB/atom.